# Rb3Sb4Pb4, relaxed, DFT PBE
data_Rb3Sb4Pb4
_space_group_name_H-M_alt 'I m m m'
_space_group_IT_number 71
_space_group_name_Hall '-I 2 2'
_cell_length_a 5.814
_cell_length_b 8.555
_cell_length_c 16.976
_cell_angle_alpha 90.00
_cell_angle_beta 90.00
_cell_angle_gamma 90.00
loop_
_atom_site_label
_atom_site_type_symbol
_atom_site_fract_x
_atom_site_fract_y
_atom_site_fract_z
Rb1 Rb 0.000 0.000 0.000
Rb2 Rb 0.000 0.500 0.118
Sb1 Sb 0.000 0.000 0.219
Sb2 Sb 0.000 0.171 0.500
Pb1 Pb 0.000 0.300 0.326
# calculated total energy	-3.312	eV per atom
# theoretical density	6.184	g cm⁻³
# formation energy without anion corrections	-200	meV per atom